# 1
The following is a DFT calculation (PBE) of a relaxed structure of TlCdAgSb.

symmetry = F-43m
formation energy without anion corrections = 0.11 eV per atom
size of the total moment = 0.0 μB per cell

Cell: 5.222 5.222 5.222 Å, 60.00 60.00 60.00°
Atoms (fractional coordinates):
Tl  0.000  0.000  0.000
Cd  0.250  0.250  0.250
Ag  0.750  0.750  0.750
Sb  0.500  0.500  0.500

***

# 2
The following is a DFT calculation (PBE) of a relaxed structure of CsPrP2O6.

symmetry = C2/c
formation energy without anion corrections = -2.28 eV per atom
size of the total moment = 4.0 μB per cell

Cell: 7.014 7.014 8.043 Å, 102.86 102.86 99.61°
Atoms (fractional coordinates):
Cs  0.137  0.863  0.750
Cs  0.863  0.137  0.250
Pr  0.433  0.567  0.250
Pr  0.567  0.433  0.750
P  0.111  0.365  0.790
P  0.365  0.111  0.290
P  0.635  0.889  0.710
P  0.889  0.635  0.210
O  0.081  0.555  0.251
O  0.191  0.287  0.628
O  0.287  0.191  0.128
O  0.297  0.523  0.928
O  0.445  0.919  0.249
O  0.477  0.703  0.572
O  0.523  0.297  0.428
O  0.555  0.081  0.751
O  0.703  0.477  0.072
O  0.713  0.809  0.872
O  0.809  0.713  0.372
O  0.919  0.445  0.749

***

# 3
The following is a DFT calculation (PBE) of a relaxed structure of BaSn3F.

symmetry = Pm-3m
formation energy without anion corrections = -0.73 eV per atom
size of the total moment = 0.0 μB per cell

Cell: 5.178 5.178 5.178 Å, 90.00 90.00 90.00°
Atoms (fractional coordinates):
Ba  0.000  0.000  0.000
Sn  0.000  0.500  0.500
Sn  0.500  0.000  0.500
Sn  0.500  0.500  0.000
F  0.500  0.500  0.500

***

# 4
The following is a DFT calculation (PBE) of a relaxed structure of SrMgCl.

symmetry = F-43m
formation energy without anion corrections = -0.47 eV per atom
size of the total moment = 0.0 μB per cell

Cell: 5.497 5.497 5.497 Å, 60.00 60.00 60.00°
Atoms (fractional coordinates):
Sr  0.000  0.000  0.000
Mg  0.750  0.750  0.750
Cl  0.250  0.250  0.250

***

# 5
The following is a DFT calculation (PBE) of a relaxed structure of NdCdPt6.

symmetry = Pm-3
ΔE_f = -0.181 eV per atom
size of the total moment = 0.0 μB per cell

Cell: 5.281 5.281 5.281 Å, 90.00 90.00 90.00°
Atoms (fractional coordinates):
Nd  0.000  0.000  0.000
Cd  0.500  0.500  0.500
Pt  0.000  0.253  0.500
Pt  0.000  0.747  0.500
Pt  0.253  0.500  0.000
Pt  0.500  0.000  0.253
Pt  0.500  0.000  0.747
Pt  0.747  0.500  0.000

***

# 6
The following is a DFT calculation (PBE) of a relaxed structure of K2BaIr.

symmetry = F-43m
ΔE_f = 0.483 eV per atom
size of the total moment = 0.0 μB per cell

Cell: 5.659 5.659 5.659 Å, 60.00 60.00 60.00°
Atoms (fractional coordinates):
K  0.000  0.000  0.000
K  0.250  0.250  0.250
Ba  0.750  0.750  0.750
Ir  0.500  0.500  0.500